Entry 1:
Below is CsNa3B after structural relaxation, with properties calculated at the PBE level.

Properties
The calculation puts the energy above the most stable polymorph in this dataset at 980.2 meV/atom. As for the space group: No. 221. Its formation energy is 1.616 eV/atom.

Lattice parameters (Å, degrees): 6.9660 6.9660 6.9660 90.00 90.00 90.00
Positions (direct):
Cs1 0.0000 0.0000 0.0000
Na1 0.0000 0.0000 0.5000
Na2 0.0000 0.5000 0.0000
Na3 0.5000 0.0000 0.0000
B1 0.5000 0.5000 0.5000

Entry 2:
Below is CsNaB3 after structural relaxation, with properties calculated at the PBE level.

Properties
The calculation puts the energy above the most stable polymorph in this dataset at 0.0 meV/atom. As for the space group: No. 221. Its formation energy is 2.505 eV/atom.

Lattice parameters (Å, degrees): 5.0202 5.0202 5.0202 90.00 90.00 90.00
Positions (direct):
Cs1 0.0000 0.0000 0.0000
Na1 0.5000 0.5000 0.5000
B1 0.0000 0.5000 0.5000
B2 0.5000 0.0000 0.5000
B3 0.5000 0.5000 0.0000

Entry 3:
Below is CsNaB3 after structural relaxation, with properties calculated at the PBE level.

Properties
The calculation puts the energy above the most stable polymorph in this dataset at 440.9 meV/atom. As for the space group: No. 221. Its formation energy is 2.946 eV/atom.

Lattice parameters (Å, degrees): 5.1907 5.1907 5.1907 90.00 90.00 90.00
Positions (direct):
Cs1 0.0000 0.0000 0.0000
Na1 0.5000 0.5000 0.5000
B1 0.0000 0.0000 0.5000
B2 0.0000 0.5000 0.0000
B3 0.5000 0.0000 0.0000

Entry 4:
Below is Cs2Na2B10O17 after structural relaxation, with properties calculated at the PBE level.

Properties
The uncorrected energy comes out at -7.420 eV/atom. As for the space group: No. 15.

Lattice parameters (Å, degrees): 11.5777 11.5777 11.2258 103.47 103.47 33.37
Positions (direct):
Cs1 0.1315 0.7425 0.9021
Cs2 0.2575 0.8685 0.5979
Cs3 0.7425 0.1315 0.4021
Cs4 0.8685 0.2575 0.0979
Na1 0.1946 0.2758 0.1857
Na2 0.2758 0.1946 0.6857
Na3 0.7242 0.8054 0.3143
Na4 0.8054 0.7242 0.8143
B1 0.0147 0.2970 0.8514
B2 0.0494 0.6163 0.5600
B3 0.1729 0.5353 0.3571
B4 0.2413 0.6464 0.2606
B5 0.2528 0.3870 0.9959
B6 0.2970 0.0147 0.3514
B7 0.3536 0.7587 0.2394
B8 0.3837 0.9506 0.9400
B9 0.3870 0.2528 0.4959
B10 0.4647 0.8271 0.1429
B11 0.5353 0.1729 0.8571
B12 0.6130 0.7472 0.5041
B13 0.6163 0.0494 0.0600
B14 0.6464 0.2413 0.7606
B15 0.7030 0.9853 0.6486
B16 0.7472 0.6130 0.0041
B17 0.7587 0.3536 0.7394
B18 0.8271 0.4647 0.6429
B19 0.9506 0.3837 0.4400
B20 0.9853 0.7030 0.1486
O1 0.0266 0.6814 0.4583
O2 0.0524 0.5858 0.0248
O3 0.0529 0.5844 0.2427
O4 0.0750 0.7530 0.1749
O5 0.0954 0.2489 0.3540
O6 0.2314 0.4003 0.5810
O7 0.2470 0.9250 0.3251
O8 0.2489 0.0954 0.8540
O9 0.2808 0.5598 0.3560
O10 0.3117 0.3416 0.8814
O11 0.3186 0.9734 0.0417
O12 0.3416 0.3117 0.3814
O13 0.3797 0.6203 0.2500
O14 0.4003 0.2314 0.0810
O15 0.4142 0.9476 0.4752
O16 0.4156 0.9471 0.2573
O17 0.4402 0.7192 0.1440
O18 0.5598 0.2808 0.8560
O19 0.5844 0.0529 0.7427
O20 0.5858 0.0524 0.5248
O21 0.5997 0.7686 0.9190
O22 0.6203 0.3797 0.7500
O23 0.6584 0.6883 0.6186
O24 0.6814 0.0266 0.9583
O25 0.6883 0.6584 0.1186
O26 0.7192 0.4402 0.6440
O27 0.7511 0.9046 0.1460
O28 0.7530 0.0750 0.6749
O29 0.7686 0.5997 0.4190
O30 0.9046 0.7511 0.6460
O31 0.9250 0.2470 0.8251
O32 0.9471 0.4156 0.7573
O33 0.9476 0.4142 0.9752
O34 0.9734 0.3186 0.5417

Entry 5:
Below is CsNaBS2 after structural relaxation, with properties calculated at the PBE level.

Properties
The uncorrected energy comes out at -3.955 eV/atom. As for the space group: No. 13.

Lattice parameters (Å, degrees): 7.6438 4.9725 8.0192 90.00 106.19 90.00
Positions (direct):
Cs1 0.0000 0.2203 0.2500
Cs2 0.0000 0.7797 0.7500
Na1 0.5000 0.0206 0.7500
Na2 0.5000 0.9794 0.2500
B1 0.5000 0.5000 0.0000
B2 0.5000 0.5000 0.5000
S1 0.3116 0.2917 0.9565
S2 0.3116 0.7083 0.4565
S3 0.6884 0.2917 0.5435
S4 0.6884 0.7083 0.0435

Entry 6:
Below is Cs3NaB2S6 after structural relaxation, with properties calculated at the PBE level.

Properties
The uncorrected energy comes out at -4.291 eV/atom. As for the space group: No. 164.

Lattice parameters (Å, degrees): 7.2503 7.2503 9.3189 90.00 90.00 120.00
Positions (direct):
Cs1 0.0000 0.0000 0.0000
Cs2 0.3333 0.6667 0.6563
Cs3 0.6667 0.3333 0.3437
Na1 0.0000 0.0000 0.5000
B1 0.3333 0.6667 0.2894
B2 0.6667 0.3333 0.7106
S1 0.1897 0.3794 0.2915
S2 0.1897 0.8103 0.2915
S3 0.3794 0.1897 0.7085
S4 0.6206 0.8103 0.2915
S5 0.8103 0.1897 0.7085
S6 0.8103 0.6206 0.7085

Entry 7:
Below is CsNaBSb2 after structural relaxation, with properties calculated at the PBE level.

Properties
The uncorrected energy comes out at -2.926 eV/atom. As for the space group: No. 123.

Lattice parameters (Å, degrees): 4.9754 4.9754 5.9777 90.00 90.00 90.00
Positions (direct):
Cs1 0.0000 0.0000 0.0000
Na1 0.5000 0.5000 0.0000
B1 0.0000 0.0000 0.5000
Sb1 0.0000 0.5000 0.5000
Sb2 0.5000 0.0000 0.5000

Entry 8:
Below is Cs2NaBSb after structural relaxation, with properties calculated at the PBE level.

Properties
The uncorrected energy comes out at -1.886 eV/atom. As for the space group: No. 123.

Lattice parameters (Å, degrees): 7.4091 7.4091 5.8726 90.00 90.00 90.00
Positions (direct):
Cs1 0.0000 0.5000 0.0000
Cs2 0.5000 0.0000 0.0000
Na1 0.0000 0.0000 0.5000
B1 0.5000 0.5000 0.5000
Sb1 0.0000 0.0000 0.0000

Entry 9:
Below is Cs2NaB2Se6 after structural relaxation, with properties calculated at the PBE level.

Properties
The uncorrected energy comes out at -3.946 eV/atom. As for the space group: No. 12.

Lattice parameters (Å, degrees): 7.3543 7.3543 10.5757 117.54 117.54 49.04
Positions (direct):
Cs1 0.1890 0.1890 0.1538
Cs2 0.8110 0.8110 0.8462
Na1 0.0000 0.0000 0.5000
B1 0.4258 0.4258 0.6733
B2 0.5742 0.5742 0.3267
Se1 0.2188 0.7202 0.2343
Se2 0.2622 0.2622 0.5267
Se3 0.2798 0.7812 0.7657
Se4 0.7202 0.2188 0.2343
Se5 0.7378 0.7378 0.4733
Se6 0.7812 0.2798 0.7657

Entry 10:
Below is CsNbB2 after structural relaxation, with properties calculated at the PBE level.

Properties
The calculation puts the energy above the most stable polymorph in this dataset at 0.0 meV/atom. As for the space group: No. 122. Its formation energy is 1.164 eV/atom.

Lattice parameters (Å, degrees): 6.9300 6.9300 9.4420 90.00 90.00 90.00
Positions (direct):
Cs1 0.0000 0.0000 0.0000
Cs2 0.0000 0.5000 0.2500
Cs3 0.5000 0.0000 0.7500
Cs4 0.5000 0.5000 0.5000
Nb1 0.0000 0.0000 0.5000
Nb2 0.0000 0.5000 0.7500
Nb3 0.5000 0.0000 0.2500
Nb4 0.5000 0.5000 0.0000
B1 0.0746 0.2500 0.6250
B2 0.2500 0.5746 0.8750
B3 0.2500 0.9254 0.3750
B4 0.4254 0.2500 0.1250
B5 0.5746 0.7500 0.1250
B6 0.7500 0.0746 0.3750
B7 0.7500 0.4254 0.8750
B8 0.9254 0.7500 0.6250

Entry 11:
Below is CsNbB2 after structural relaxation, with properties calculated at the PBE level.

Properties
The calculation puts the energy above the most stable polymorph in this dataset at 1121.4 meV/atom. As for the space group: No. 225. Its formation energy is 2.286 eV/atom.

Lattice parameters (Å, degrees): 6.4576 6.4576 6.4576 90.00 90.00 90.00
Positions (direct):
Cs1 0.0000 0.0000 0.0000
Cs2 0.0000 0.5000 0.5000
Cs3 0.5000 0.0000 0.5000
Cs4 0.5000 0.5000 0.0000
Nb1 0.0000 0.0000 0.5000
Nb2 0.0000 0.5000 0.0000
Nb3 0.5000 0.0000 0.0000
Nb4 0.5000 0.5000 0.5000
B1 0.2500 0.2500 0.2500
B2 0.2500 0.2500 0.7500
B3 0.2500 0.7500 0.2500
B4 0.2500 0.7500 0.7500
B5 0.7500 0.2500 0.2500
B6 0.7500 0.2500 0.7500
B7 0.7500 0.7500 0.2500
B8 0.7500 0.7500 0.7500

Entry 12:
Below is CsNbB3 after structural relaxation, with properties calculated at the PBE level.

Properties
The calculation puts the energy above the most stable polymorph in this dataset at 2076.7 meV/atom. As for the space group: No. 221. Its formation energy is 3.485 eV/atom.

Lattice parameters (Å, degrees): 4.4178 4.4178 4.4178 90.00 90.00 90.00
Positions (direct):
Cs1 0.0000 0.0000 0.0000
Nb1 0.5000 0.5000 0.5000
B1 0.0000 0.0000 0.5000
B2 0.0000 0.5000 0.0000
B3 0.5000 0.0000 0.0000

Entry 13:
Below is CsNbB3 after structural relaxation, with properties calculated at the PBE level.

Properties
The calculation puts the energy above the most stable polymorph in this dataset at 0.0 meV/atom. As for the space group: No. 221. Its formation energy is 1.408 eV/atom.

Lattice parameters (Å, degrees): 4.6096 4.6096 4.6096 90.00 90.00 90.00
Positions (direct):
Cs1 0.0000 0.0000 0.0000
Nb1 0.5000 0.5000 0.5000
B1 0.0000 0.5000 0.5000
B2 0.5000 0.0000 0.5000
B3 0.5000 0.5000 0.0000

Entry 14:
Below is CsSc2NbB after structural relaxation, with properties calculated at the PBE level.

Properties
As for the space group: No. 123. Its formation energy is 0.689 eV/atom.

Lattice parameters (Å, degrees): 4.9405 4.9405 4.5815 90.00 90.00 90.00
Positions (direct):
Cs1 0.0000 0.0000 0.0000
Sc1 0.0000 0.5000 0.5000
Sc2 0.5000 0.0000 0.5000
Nb1 0.5000 0.5000 0.0000
B1 0.5000 0.5000 0.5000

Entry 15:
Below is CsSr2NbB after structural relaxation, with properties calculated at the PBE level.

Properties
As for the space group: No. 123. Its formation energy is 0.988 eV/atom.

Lattice parameters (Å, degrees): 6.3050 6.3050 4.4928 90.00 90.00 90.00
Positions (direct):
Cs1 0.0000 0.0000 0.0000
Sr1 0.0000 0.5000 0.5000
Sr2 0.5000 0.0000 0.5000
Nb1 0.5000 0.5000 0.5000
B1 0.5000 0.5000 0.0000

Entry 16:
Below is CsNbBW2 after structural relaxation, with properties calculated at the PBE level.

Properties
As for the space group: No. 123. Its formation energy is 1.580 eV/atom.

Lattice parameters (Å, degrees): 4.3804 4.3804 4.7590 90.00 90.00 90.00
Positions (direct):
Cs1 0.0000 0.0000 0.0000
Nb1 0.5000 0.5000 0.0000
B1 0.5000 0.5000 0.5000
W1 0.0000 0.5000 0.5000
W2 0.5000 0.0000 0.5000

Entry 17:
Below is Cs2NdB2O6 after structural relaxation, with properties calculated at the PBE level.

Properties
The uncorrected energy comes out at -6.898 eV/atom. As for the space group: No. 166.

Lattice parameters (Å, degrees): 7.7643 7.7643 7.7643 43.52 43.52 43.52
Positions (direct):
Cs1 0.2122 0.2122 0.2122
Cs2 0.7878 0.7878 0.7878
Nd1 0.0000 0.0000 0.0000
B1 0.3986 0.3986 0.3986
B2 0.6014 0.6014 0.6014
O1 0.2604 0.2604 0.6763
O2 0.2604 0.6763 0.2604
O3 0.3237 0.7396 0.7396
O4 0.6763 0.2604 0.2604
O5 0.7396 0.3237 0.7396
O6 0.7396 0.7396 0.3237

Entry 18:
Below is Cs2NdBS4 after structural relaxation, with properties calculated at the PBE level.

Properties
The uncorrected energy comes out at -4.807 eV/atom. As for the space group: No. 70.

Lattice parameters (Å, degrees): 14.8837 13.2909 7.9390 85.07 62.83 32.10
Positions (direct):
Cs1 0.0530 0.0530 0.6970
Cs2 0.3030 0.3030 0.9470
Cs3 0.6970 0.6970 0.0530
Cs4 0.9470 0.9470 0.3030
Nd1 0.1250 0.1250 0.1250
Nd2 0.8750 0.8750 0.8750
B1 0.3750 0.3750 0.3750
B2 0.6250 0.6250 0.6250
S1 0.0759 0.5807 0.5074
S2 0.3359 0.5074 0.5807
S3 0.4193 0.9241 0.6641
S4 0.4926 0.6641 0.9241
S5 0.5074 0.3359 0.0759
S6 0.5807 0.0759 0.3359
S7 0.6641 0.4926 0.4193
S8 0.9241 0.4193 0.4926

Entry 19:
Below is CsNd2B2S6 after structural relaxation, with properties calculated at the PBE level.

Properties
The uncorrected energy comes out at -5.508 eV/atom. As for the space group: No. 12.

Lattice parameters (Å, degrees): 7.4567 7.4567 7.5586 114.72 114.72 58.58
Positions (direct):
Cs1 0.0000 0.0000 0.0000
Nd1 0.3285 0.3285 0.6711
Nd2 0.6715 0.6715 0.3289
B1 0.3496 0.3496 0.2580
B2 0.6504 0.6504 0.7420
S1 0.1075 0.5356 0.3516
S2 0.4259 0.4259 0.1073
S3 0.4644 0.8925 0.6484
S4 0.5356 0.1075 0.3516
S5 0.5741 0.5741 0.8927
S6 0.8925 0.4644 0.6484

Entry 20:
Below is Cs2NdBSe4 after structural relaxation, with properties calculated at the PBE level.

Properties
The uncorrected energy comes out at -4.379 eV/atom. As for the space group: No. 70.

Lattice parameters (Å, degrees): 15.2462 13.5264 8.2969 85.05 62.12 32.83
Positions (direct):
Cs1 0.0539 0.0539 0.6961
Cs2 0.3039 0.3039 0.9461
Cs3 0.6961 0.6961 0.0539
Cs4 0.9461 0.9461 0.3039
Nd1 0.1250 0.1250 0.1250
Nd2 0.8750 0.8750 0.8750
B1 0.3750 0.3750 0.3750
B2 0.6250 0.6250 0.6250
Se1 0.0667 0.5836 0.5116
Se2 0.3380 0.5116 0.5836
Se3 0.4164 0.9333 0.6620
Se4 0.4884 0.6620 0.9333
Se5 0.5116 0.3380 0.0667
Se6 0.5836 0.0667 0.3380
Se7 0.6620 0.4884 0.4164
Se8 0.9333 0.4164 0.4884